DFT (GGA-PBE) results for a relaxed YAlBr2 crystal.

Cell: 3.598 3.598 8.661 Å, 90.00 90.00 90.00°
Last column: magnetic moment on the atom in μB.
Sites, in units of the cell vectors:
Br  0.000  0.000  0.914  0.00
Br  0.500  0.500  0.331  0.00
Y  0.000  0.000  0.524  0.09
Al  0.500  0.500  0.731  0.00

As for the formation energy from raw total energies: -0.810 eV/atom. The symmetry is P4mm. Its energy above the lowest structure with this stoichiometry is 19 meV per atom. Its uncorrected energy is -16.79 eV/f.u.

DFT (GGA-PBE) results for a relaxed YAl2Br crystal.

Cell: 5.113 3.549 6.488 Å, 57.42 90.00 90.00°
Sites, in units of the cell vectors:
Al  0.000  0.011  0.990
Br  0.500  0.250  0.250
Al  0.000  0.489  0.510
Y  0.500  0.750  0.750

As for the formation energy from raw total energies: -0.237 eV/atom. The symmetry is P2/m. Its energy above the lowest structure with this stoichiometry is 187 meV per atom. Its uncorrected energy is -16.57 eV/f.u.